Entry 1:
Y2ZnIr after structural relaxation, computed with PBE.

Values from the calculation:
The formation enthalpy at 0 K comes out at -0.61 eV/atom. The calculated volume is 90.4 Å³/f.u. For the calculated total energy, the calculation gives -6.381 eV/atom.

Lattice parameters (Å, degrees): 4.3353 3.9141 5.6716 69.86 90.00 90.00
Sites, in units of the cell vectors:
Y1 0.5000 0.2652 0.3441
Zn1 0.0000 0.6966 0.4819
Ir1 0.5000 0.5523 0.7705
Y2 0.0000 0.9859 0.9035

---

Entry 2:
Nd3DyTh2Se6 after structural relaxation, computed with PBE.

Values from the calculation:
The calculated volume is 313.6 Å³/f.u. The uncorrected formation energy comes out at -1.71 eV/atom. For the calculated total energy, the calculation gives -6.265 eV/atom.

Lattice parameters (Å, degrees): 7.2634 7.2634 7.2747 99.63 99.63 119.90
Sites, in units of the cell vectors:
Nd1 0.8308 0.1692 0.5000
Th1 0.3334 0.6666 0.0000
Se1 0.2433 0.2433 0.7531
Nd2 0.5000 0.5000 0.5000
Se2 0.9187 0.5929 0.7557
Se3 0.4071 0.0813 0.2443
Se4 0.7567 0.7567 0.2469
Se5 0.5929 0.9187 0.7557
Nd3 0.1692 0.8308 0.5000
Se6 0.0813 0.4071 0.2443
Th2 0.6666 0.3334 0.0000
Dy1 0.0000 0.0000 0.0000

---

Entry 3:
CrCo3N after structural relaxation, computed with PBE.

Values from the calculation:
The value obtained for the energy relative to the lowest polymorph listed for this composition is 0.000 eV per atom. The calculated volume is 52.9 Å³/f.u. The uncorrected formation energy comes out at 0.11 eV/atom. For the calculated total energy, the calculation gives -7.744 eV/atom.

Lattice parameters (Å, degrees): 3.7535 3.7535 3.7535 90.00 90.00 90.00
Sites, in units of the cell vectors:
Cr1 0.5000 0.5000 0.5000
N1 0.0000 0.0000 0.0000
Co1 0.0000 0.0000 0.5000
Co2 0.0000 0.5000 0.0000
Co3 0.5000 0.0000 0.0000

---

Entry 4:
Tb4Ho2C after structural relaxation, computed with PBE.

Values from the calculation:
The formation enthalpy at 0 K comes out at 0.15 eV/atom. The calculated volume is 208.9 Å³/f.u. For the calculated total energy, the calculation gives -5.118 eV/atom.

Lattice parameters (Å, degrees): 4.8801 4.8801 9.4244 74.99 74.99 90.00
Sites, in units of the cell vectors:
Ho1 0.3294 0.3294 0.3412
Tb1 0.5000 0.0000 0.0000
Tb2 0.8640 0.8640 0.2720
Tb3 0.1360 0.1360 0.7280
Ho2 0.6706 0.6706 0.6588
C1 0.0000 0.0000 0.0000
Tb4 0.0000 0.5000 0.0000

---

Entry 5:
CaPmTl after structural relaxation, computed with PBE.

Values from the calculation:
The formation enthalpy at 0 K comes out at -0.17 eV/atom. The value obtained for the energy relative to the lowest polymorph listed for this composition is 0.191 eV per atom. The calculated volume is 107.2 Å³/f.u. For the calculated total energy, the calculation gives -3.213 eV/atom.

Lattice parameters (Å, degrees): 5.3321 5.3321 5.3321 60.00 60.00 60.00
Sites, in units of the cell vectors:
Ca1 0.5000 0.5000 0.5000
Pm1 0.0000 0.0000 0.0000
Tl1 0.2500 0.2500 0.2500

---

Entry 6:
Sb2MoBr after structural relaxation, computed with PBE.

Values from the calculation:
The value obtained for the energy relative to the lowest polymorph listed for this composition is 0.020 eV per atom. The calculated volume is 92.3 Å³/f.u. The uncorrected formation energy comes out at 0.10 eV/atom. For the calculated total energy, the calculation gives -5.091 eV/atom.

Lattice parameters (Å, degrees): 3.4111 3.4111 7.9328 90.00 90.00 90.00
Sites, in units of the cell vectors:
Sb1 0.0000 0.0000 0.9487
Sb2 0.0000 0.0000 0.5513
Br1 0.5000 0.5000 0.2500
Mo1 0.5000 0.5000 0.7500

---

Entry 7:
TlCr2I after structural relaxation, computed with PBE.

Values from the calculation:
The value obtained for the energy relative to the lowest polymorph listed for this composition is 0.000 eV per atom. The calculated volume is 105.0 Å³/f.u. The uncorrected formation energy comes out at 0.79 eV/atom. For the calculated total energy, the calculation gives -5.003 eV/atom.

Lattice parameters (Å, degrees): 7.8336 7.8336 6.5103 53.01 53.01 90.00
Sites, in units of the cell vectors:
Tl1 0.7500 0.2500 0.5000
Cr1 0.6208 0.1250 0.2500
Cr2 0.3750 0.3792 0.7500
Cr3 0.8750 0.8708 0.7500
Cr4 0.1292 0.6250 0.2500
I1 0.5000 0.5000 0.0000
Tl2 0.0000 0.0000 0.0000
I2 0.2500 0.7500 0.5000

---

Entry 8:
AlSi3P after structural relaxation, computed with PBE.

Values from the calculation:
The value obtained for the energy relative to the lowest polymorph listed for this composition is 0.797 eV per atom. The calculated volume is 104.5 Å³/f.u. The uncorrected formation energy comes out at 1.11 eV/atom. For the calculated total energy, the calculation gives -3.976 eV/atom.

Lattice parameters (Å, degrees): 4.7095 4.7095 4.7095 90.00 90.00 90.00
Sites, in units of the cell vectors:
Si1 0.0000 0.0000 0.5000
Al1 0.0000 0.0000 0.0000
Si2 0.0000 0.5000 0.0000
P1 0.5000 0.5000 0.5000
Si3 0.5000 0.0000 0.0000

---

Entry 9:
TlInRu3 after structural relaxation, computed with PBE.

Values from the calculation:
The formation enthalpy at 0 K comes out at 1.80 eV/atom. The value obtained for the energy relative to the lowest polymorph listed for this composition is 0.000 eV per atom. The calculated volume is 117.4 Å³/f.u. For the calculated total energy, the calculation gives -4.787 eV/atom.

Lattice parameters (Å, degrees): 4.8964 4.8964 4.8964 90.00 90.00 90.00
Sites, in units of the cell vectors:
Ru1 0.0000 0.5000 0.0000
In1 0.0000 0.0000 0.0000
Ru2 0.0000 0.0000 0.5000
Tl1 0.5000 0.5000 0.5000
Ru3 0.5000 0.0000 0.0000

---

Entry 10:
Zn2CdGeC after structural relaxation, computed with PBE.

Values from the calculation:
The formation enthalpy at 0 K comes out at 0.63 eV/atom. The calculated volume is 87.5 Å³/f.u. For the calculated total energy, the calculation gives -2.830 eV/atom.

Lattice parameters (Å, degrees): 3.9774 5.5291 3.9774 90.00 90.00 90.00
Sites, in units of the cell vectors:
Ge1 0.0000 0.5000 0.0000
Zn1 0.0000 0.0000 0.5000
C1 0.0000 0.0000 0.0000
Zn2 0.5000 0.0000 0.0000
Cd1 0.5000 0.5000 0.5000

---

Entry 11:
ZnReAu after structural relaxation, computed with PBE.

Values from the calculation:
The formation enthalpy at 0 K comes out at 0.23 eV/atom. The value obtained for the energy relative to the lowest polymorph listed for this composition is 0.000 eV per atom. The calculated volume is 46.8 Å³/f.u. For the calculated total energy, the calculation gives -5.432 eV/atom.

Lattice parameters (Å, degrees): 2.8020 2.8020 6.8888 90.00 90.00 120.00
Sites, in units of the cell vectors:
Zn1 0.3333 0.6667 0.6620
Re1 0.6667 0.3333 0.3436
Au1 0.0000 0.0000 0.9944

---

Entry 12:
MoPtRh2 after structural relaxation, computed with PBE.

Values from the calculation:
The formation enthalpy at 0 K comes out at 0.03 eV/atom. The value obtained for the energy relative to the lowest polymorph listed for this composition is 0.286 eV per atom. The calculated volume is 60.4 Å³/f.u. For the calculated total energy, the calculation gives -7.864 eV/atom.

Lattice parameters (Å, degrees): 4.4045 4.4045 4.4045 60.00 60.00 60.00
Sites, in units of the cell vectors:
Rh1 0.2500 0.2500 0.2500
Pt1 0.5000 0.5000 0.5000
Rh2 0.7500 0.7500 0.7500
Mo1 0.0000 0.0000 0.0000